(1)
{"formula": "Ca2Ag3Ge2", "functional": "PBE-GGA", "state": "relaxed", "e_tot_ev_per_atom": -3.45, "cell": [[4.386, 0.000, 0.000], [-2.193, 5.254, -0.184], [0.000, -2.644, 6.684]], "species": ["Ca", "Ca", "Ag", "Ag", "Ag", "Ge", "Ge"], "frac_coords": [[0.858, 0.716, 0.234], [0.142, 0.284, 0.766], [0.500, 0.000, 0.000], [0.616, 0.233, 0.436], [0.384, 0.767, 0.564], [0.855, 0.710, 0.793], [0.145, 0.290, 0.207]]}

(2)
{"formula": "BeTe4P", "functional": "PBE-GGA", "state": "relaxed", "e_tot_ev_per_atom": -2.46, "raw_formation_energy_kcal_per_mol_atoms": 26.660, "cell": [[-1.861, -5.907, -0.083], [-4.636, -1.734, -3.723], [1.160, -3.543, -4.946]], "species": ["Be", "Te", "Te", "Te", "Te", "P"], "frac_coords": [[0.750, 0.750, 0.750], [0.876, 0.375, 0.375], [0.375, 0.375, 0.876], [0.375, 0.876, 0.375], [0.375, 0.375, 0.375], [0.000, 0.000, 0.000]]}

(3)
{"formula": "TbSc2IO8", "functional": "PBE-GGA", "state": "relaxed", "e_tot_ev_per_atom": -7.17, "raw_formation_energy_kcal_per_mol_atoms": -52.963, "cell": [[-0.085, 0.026, -4.850], [-2.551, -4.127, 0.001], [-5.634, 3.482, 0.117]], "species": ["Tb", "Sc", "Sc", "I", "O", "O", "O", "O", "O", "O", "O", "O"], "frac_coords": [[0.000, 0.000, 0.500], [0.500, 0.500, 0.742], [0.500, 0.500, 0.258], [0.000, 0.000, 0.000], [0.190, 0.810, 0.211], [0.723, 0.723, 0.000], [0.810, 0.190, 0.211], [0.810, 0.190, 0.789], [0.277, 0.277, 0.000], [0.190, 0.810, 0.789], [0.681, 0.681, 0.500], [0.319, 0.319, 0.500]]}